Below is a relaxed structure of KAuBr2, with properties calculated at the GGA-PBE level.

Cell lengths 4.4972, 4.4972, 26.1093 Å; angles 90.00, 90.00, 120.00 degrees
Space group R-3m (No. 166, hexagonal axes)
Inequivalent atoms, fractional coordinates:
1 K 0.0000 0.0000 0.0000 x3
2 Au 0.0000 0.0000 0.5000 x3
3 Br 0.0000 0.0000 0.1137 x6

Results
N(E_F): 0.000 states/eV per atom
raw formation energy: -428 meV per atom
polymorph energy (0 for the lowest one): 0.503 eV per atom